Material: SiTcRu2I
Method: DFT, PBE
State: optimized geometry

abc: 4.469 4.556 4.469
angles: 90.00 90.00 90.00
Sites, in units of the cell vectors:
I 0.500 0.500 0.500
Ru 0.000 0.000 0.500
Ru 0.500 0.000 0.000
Si 0.000 0.000 0.000
Tc 0.000 0.500 0.000

Values from the calculation:
**SG**: No. 123
**Formation energy (no corrections)**: 1.009 eV/atom
**Size of the total moment**: 0.0 μB/cell